DFT (PBE) results for a relaxed CeGdGePt crystal.

a = 5.0843 Å, b = 5.0843 Å, c = 5.0843 Å
α = 60.00°, β = 60.00°, γ = 60.00°
Atoms (fractional coordinates):
1 Ce 0.0000 0.0000 0.0000
2 Gd 0.5000 0.5000 0.5000
3 Ge 0.7500 0.7500 0.7500
4 Pt 0.2500 0.2500 0.2500

Calculated values
Fermi-level density of states	7.798	states/eV/f.u.
volume	92.9	Å³/cell
formation energy	-0.83	eV per atom
electronic total energy	-34.0	eV/cell